Entry 1:
A relaxed ErGaIr crystal. Source: the Open Quantum Materials Database, functional PBE.

The calculation puts the total magnetization at 0.0 μB per cell. The value obtained for the total energy is -19.044 eV/f.u.

The space group is Pnma (No. 62) and the conventional cell measures 6.8887, 4.4101 and 7.4378 Å, with angles of 90.00, 90.00 and 90.00 degrees. Symmetry generates all atoms from Er at (0.0034, 0.2500, 0.1938), Ga at (0.1975, 0.2500, 0.6056) and Ir at (0.1782, 0.7500, 0.4335).

Entry 2:
A relaxed Er3Ga8Ir3 crystal. Source: the Open Quantum Materials Database, functional PBE.

The calculation puts the total magnetization at 0.0 μB per cell. The value obtained for the total energy is -73.629 eV/f.u.

The space group is Immm (No. 71) and the conventional cell measures 4.1770, 9.8171 and 12.2990 Å, with angles of 90.00, 90.00 and 90.00 degrees. Symmetry generates all atoms from Er at (0.0000, 0.0000, 0.0000), Er at (0.0000, 0.0000, 0.3310), Ga at (0.0000, 0.2845, 0.1244), Ga at (0.0000, 0.3715, 0.3304), Ir at (0.0000, 0.2199, 0.5000) and Ir at (0.0000, 0.5000, 0.0000).

Entry 3:
A relaxed ErGaIr crystal. Source: the Open Quantum Materials Database, functional PBE.

The calculation puts the total magnetization at 0.0 μB per cell. The value obtained for the total energy is -18.887 eV/f.u.

The space group is P6_3mc (No. 186) and the conventional cell measures 4.3907, 4.3907 and 6.8890 Å, with angles of 90.00, 90.00 and 120.00 degrees. Symmetry generates all atoms from Er at (0.0000, 0.0000, 0.0000), Ga at (0.3333, 0.6667, 0.2468) and Ir at (0.3333, 0.6667, 0.7571).

Entry 4:
A relaxed ErGa2Ir2 crystal. Source: the Open Quantum Materials Database, functional PBE.

The calculation puts the total magnetization at 0.0 μB per cell. The value obtained for the total energy is -31.718 eV/f.u.

The space group is I4/mmm (No. 139) and the conventional cell measures 4.2223, 4.2223 and 10.0134 Å, with angles of 90.00, 90.00 and 90.00 degrees. Symmetry generates all atoms from Er at (0.0000, 0.0000, 0.0000), Ga at (0.0000, 0.0000, 0.3777) and Ir at (0.0000, 0.5000, 0.2500).

Entry 5:
A relaxed ErGaIr crystal. Source: the Open Quantum Materials Database, functional PBE.

The calculation puts the total magnetization at 0.0 μB per cell. The value obtained for the total energy is -19.132 eV/f.u.

The space group is Pnma (No. 62) and the conventional cell measures 6.7641, 4.2921 and 7.8022 Å, with angles of 90.00, 90.00 and 90.00 degrees. Symmetry generates all atoms from Er at (0.0257, 0.2500, 0.1856), Ga at (0.1545, 0.2500, 0.5658) and Ir at (0.2325, 0.7500, 0.3845).

Entry 6:
A relaxed Er4Ga12Ir crystal. Source: the Open Quantum Materials Database, functional PBE.

The calculation puts the total magnetization at 0.0 μB per cell. The value obtained for the total energy is -73.443 eV/f.u.

The space group is Im-3m (No. 229) and the conventional cell measures 8.5672, 8.5672 and 8.5672 Å, with angles of 90.00, 90.00 and 90.00 degrees. Symmetry generates all atoms from Er at (0.2500, 0.2500, 0.2500), Ga at (0.0000, 0.0000, 0.2934), Ga at (0.0000, 0.2500, 0.5000) and Ir at (0.0000, 0.0000, 0.0000).

Entry 7:
A relaxed Er3Mg3GaIr2 crystal. Source: the Open Quantum Materials Database, functional PBE.

The calculation puts the total magnetization at 0.0 μB per cell. The value obtained for the total energy is -44.334 eV/f.u.

The space group is P-62m (No. 189) and the conventional cell measures 7.2450, 7.2450 and 4.1199 Å, with angles of 90.00, 90.00 and 120.00 degrees. Symmetry generates all atoms from Er at (0.0000, 0.5795, 0.0000), Mg at (0.0000, 0.2504, 0.5000), Ga at (0.0000, 0.0000, 0.0000) and Ir at (0.3333, 0.6667, 0.5000).

Entry 8:
A relaxed ErMgGa2Ir4 crystal. Source: the Open Quantum Materials Database, functional PBE.

The calculation puts the total magnetization at 0.0 μB per cell. The value obtained for the total energy is -51.910 eV/f.u.

The space group is P4/mmm (No. 123) and the conventional cell measures 4.4309, 4.4309 and 6.3507 Å, with angles of 90.00, 90.00 and 90.00 degrees. Symmetry generates all atoms from Er at (0.0000, 0.0000, 0.0000), Mg at (0.5000, 0.5000, 0.5000), Ga at (0.0000, 0.0000, 0.5000), Ga at (0.5000, 0.5000, 0.0000) and Ir at (0.0000, 0.5000, 0.2653).

Entry 9:
A relaxed Er3Mg3GaIrPt crystal. Source: the Open Quantum Materials Database, functional PBE.

The calculation puts the total magnetization at 0.0 μB per cell. The value obtained for the total energy is -42.746 eV/f.u.

The space group is P-6 (No. 174) and the conventional cell measures 7.4398, 7.4398 and 4.0021 Å, with angles of 90.00, 90.00 and 120.00 degrees. Symmetry generates all atoms from Er at (0.0219, 0.6020, 0.0000), Mg at (0.2482, 0.0024, 0.5000), Ga at (0.6667, 0.3333, 0.5000), Ir at (0.3333, 0.6667, 0.5000) and Pt at (0.0000, 0.0000, 0.0000).

Entry 10:
A relaxed NdErGa4Ir2 crystal. Source: the Open Quantum Materials Database, functional PBE.

The calculation puts the total magnetization at 0.0 μB per cell. The value obtained for the total energy is -44.890 eV/f.u.

The space group is Pm (No. 6) and the conventional cell measures 4.2109, 7.0762 and 5.5418 Å, with angles of 90.00, 112.10 and 90.00 degrees. Symmetry generates all atoms from Nd at (0.0000, 0.0000, 0.0000), Er at (0.8566, 0.5000, 0.7140), Ga at (0.2847, 0.2002, 0.5681), Ga at (0.5738, 0.3068, 0.1506), Ir at (0.1390, 0.5000, 0.2823) and Ir at (0.7171, 0.0000, 0.4322).

Entry 11:
A relaxed PrErGa4Ir2 crystal. Source: the Open Quantum Materials Database, functional PBE.

The calculation puts the total magnetization at 0.0 μB per cell. The value obtained for the total energy is -44.819 eV/f.u.

The space group is Pm (No. 6) and the conventional cell measures 4.2092, 7.0957 and 5.5622 Å, with angles of 90.00, 111.91 and 90.00 degrees. Symmetry generates all atoms from Pr at (0.0000, 0.0000, 0.0000), Er at (0.8586, 0.5000, 0.7178), Ga at (0.2852, 0.2010, 0.5687), Ga at (0.5757, 0.3078, 0.1551), Ir at (0.1396, 0.5000, 0.2843) and Ir at (0.7182, 0.0000, 0.4341).

Entry 12:
A relaxed TbErGa4Ir2 crystal. Source: the Open Quantum Materials Database, functional PBE.

The calculation puts the total magnetization at 0.0 μB per cell. The value obtained for the total energy is -45.029 eV/f.u.

The space group is Amm2 (No. 38) and the conventional cell measures 6.8901, 4.2601 and 10.0722 Å, with angles of 90.00, 90.00 and 90.00 degrees. Symmetry generates all atoms from Tb at (0.0000, 0.0000, 0.0000), Er at (0.5000, 0.0000, 0.1583), Ga at (0.1973, 0.0000, 0.7163), Ga at (0.3046, 0.0000, 0.4411), Ir at (0.0000, 0.0000, 0.2870) and Ir at (0.5000, 0.0000, 0.8704).

Entry 13:
A relaxed ErTmGa4Ir2 crystal. Source: the Open Quantum Materials Database, functional PBE.

The calculation puts the total magnetization at 0.0 μB per cell. The value obtained for the total energy is -44.909 eV/f.u.

The space group is Amm2 (No. 38) and the conventional cell measures 6.8688, 4.2501 and 9.9950 Å, with angles of 90.00, 90.00 and 90.00 degrees. Symmetry generates all atoms from Er at (0.0000, 0.0000, 0.0000), Tm at (0.5000, 0.0000, 0.8425), Ga at (0.1975, 0.0000, 0.2843), Ga at (0.3031, 0.0000, 0.5586), Ir at (0.0000, 0.0000, 0.7139) and Ir at (0.5000, 0.0000, 0.1289).

Entry 14:
A relaxed YErGa4Ir2 crystal. Source: the Open Quantum Materials Database, functional PBE.

The calculation puts the total magnetization at 0.0 μB per cell. The value obtained for the total energy is -46.877 eV/f.u.

The space group is Amm2 (No. 38) and the conventional cell measures 6.9834, 4.2053 and 10.1013 Å, with angles of 90.00, 90.00 and 90.00 degrees. Symmetry generates all atoms from Y at (0.0000, 0.0000, 0.0000), Er at (0.5000, 0.0000, 0.1488), Ga at (0.1976, 0.0000, 0.7152), Ga at (0.3036, 0.0000, 0.4328), Ir at (0.0000, 0.0000, 0.2860) and Ir at (0.5000, 0.0000, 0.8623).

Entry 15:
A relaxed ErZrGa4Ir2 crystal. Source: the Open Quantum Materials Database, functional PBE.

The calculation puts the total magnetization at 0.0 μB per cell. The value obtained for the total energy is -48.596 eV/f.u.

The space group is Amm2 (No. 38) and the conventional cell measures 6.6517, 4.2506 and 9.9430 Å, with angles of 90.00, 90.00 and 90.00 degrees. Symmetry generates all atoms from Er at (0.0000, 0.0000, 0.0000), Zr at (0.5000, 0.0000, 0.8362), Ga at (0.2032, 0.0000, 0.2865), Ga at (0.3045, 0.0000, 0.5504), Ir at (0.0000, 0.0000, 0.7112) and Ir at (0.5000, 0.0000, 0.1227).

Entry 16:
A relaxed KErGa crystal. Source: the Open Quantum Materials Database, functional PBE.

As for the energy above the lowest structure with this stoichiometry: 0 meV per atom. The calculation puts the total magnetization at 2.7 μB per cell.

The space group is F-43m (No. 216) and the conventional cell measures 7.2875, 7.2875 and 7.2875 Å, with angles of 90.00, 90.00 and 90.00 degrees. Symmetry generates all atoms from K at (0.0000, 0.0000, 0.0000), Er at (0.2500, 0.2500, 0.7500) and Ga at (0.0000, 0.0000, 0.5000).

Entry 17:
A relaxed K2ErGa4 crystal. Source: the Open Quantum Materials Database, functional PBE.

The calculation puts the total magnetization at 0.0 μB per cell. The value obtained for the total energy is -18.442 eV/f.u.

The space group is I4/mmm (No. 139) and the conventional cell measures 7.9145, 7.9145 and 5.5012 Å, with angles of 90.00, 90.00 and 90.00 degrees. Symmetry generates all atoms from K at (0.0000, 0.5000, 0.2500), Er at (0.0000, 0.0000, 0.0000) and Ga at (0.1702, 0.1702, 0.5000).

Entry 18:
A relaxed LaErGa5 crystal. Source: the Open Quantum Materials Database, functional PBE.

The calculation puts the total magnetization at 0.0 μB per cell. The value obtained for the total energy is -27.136 eV/f.u.

The space group is P4/mmm (No. 123) and the conventional cell measures 4.4794, 4.4794 and 8.1782 Å, with angles of 90.00, 90.00 and 90.00 degrees. Symmetry generates all atoms from La at (0.0000, 0.0000, 0.0000), Er at (0.0000, 0.0000, 0.5000), Ga at (0.0000, 0.5000, 0.2676) and Ga at (0.5000, 0.5000, 0.0000).

Entry 19:
A relaxed LaErGa crystal. Source: the Open Quantum Materials Database, functional PBE.

The calculation puts the total magnetization at 0.0 μB per cell. The value obtained for the total energy is -11.406 eV/f.u.

The space group is F-43m (No. 216) and the conventional cell measures 7.1895, 7.1895 and 7.1895 Å, with angles of 90.00, 90.00 and 90.00 degrees. Symmetry generates all atoms from La at (0.0000, 0.0000, 0.0000), Er at (0.2500, 0.2500, 0.7500) and Ga at (0.2500, 0.2500, 0.2500).

Entry 20:
A relaxed LaErGa2Ni4 crystal. Source: the Open Quantum Materials Database, functional PBE.

The calculation puts the total magnetization at 0.0 μB per cell. The value obtained for the total energy is -42.209 eV/f.u.

The space group is P-6m2 (No. 187) and the conventional cell measures 4.1740, 4.1740 and 9.1040 Å, with angles of 90.00, 90.00 and 120.00 degrees. Symmetry generates all atoms from La at (0.0000, 0.0000, 0.0000), Er at (0.6667, 0.3333, 0.5000), Ga at (0.3333, 0.6667, 0.2645), Ni at (0.0000, 0.0000, 0.3195) and Ni at (0.6667, 0.3333, 0.2044).

Record-wise V values, in Å³/cell: 226 504 115 179 227 629 187 125 192 153 154 296 292 297 281 387 345 164 372 137